[1]
LaSn after structural relaxation, computed with PBE.

extended XYZ file:
```
6
Lattice="-2.7057 5.7467 3.2822 2.7057 -5.7467 3.2822 2.7057 5.7467 -3.2822" Properties=species:S:1:pos:R:3 pbc="T T T"
La 0.0000 0.0000 0.0000
La 0.0000 3.8310 0.0183
La 0.0000 7.6625 0.0183
Sn 2.7057 1.9161 0.0191
Sn 0.0000 0.0000 3.2804
Sn 0.0000 3.8306 3.3013
```

## Properties
* DFT formation energy: -59.6 kJ per mole of atoms
* Fermi-level density of states: 4.91 states/eV/cell
* calculated volume: 68.0 Å³/f.u.
* symmetry: Imm2

[2]
Cu2NiIr after structural relaxation, computed with PBE.

extended XYZ file:
```
4
Lattice="1.3179 0.7609 8.3814 -1.3179 0.7609 8.3814 0.0000 -1.5218 8.3814" Properties=species:S:1:pos:R:3 pbc="T T T"
Cu 0.0000 0.0000 0.0000
Cu 0.0000 0.0000 6.3300
Ni 0.0000 0.0000 12.6962
Ir 0.0000 0.0000 18.9792
```

## Properties
* ΔE to the lowest computed polymorph: 0.019 eV/atom
* DFT formation energy: 6.8 kJ per mole of atoms
* Fermi-level density of states: 4.37 states/eV/cell
* calculated volume: 50.4 Å³/f.u.
* symmetry: R3m

[3]
Ho2PuGa6 after structural relaxation, computed with PBE.

extended XYZ file:
```
9
Lattice="-2.1635 3.5457 6.5498 2.1635 -3.5457 6.5498 2.1635 3.5457 -6.5498" Properties=species:S:1:pos:R:3 pbc="T T T"
Ho 0.0000 0.0000 1.6311
Ho 0.0000 0.0000 11.4685
Pu 0.0000 3.5457 0.0000
Ga 2.1635 2.1770 -2.4263
Ga 2.1635 1.3124 0.0000
Ga 2.1635 2.1770 2.4263
Ga 0.0000 1.3687 4.1235
Ga 0.0000 2.2334 6.5498
Ga 0.0000 1.3687 8.9760
```

## Properties
* ΔE to the lowest computed polymorph: 0.154 eV/atom
* DFT formation energy: -36.2 kJ per mole of atoms
* Fermi-level density of states: 15.15 states/eV/cell
* calculated volume: 201.0 Å³/f.u.
* symmetry: Immm

[4]
CaLa3Nd2Te6 after structural relaxation, computed with PBE.

extended XYZ file:
```
12
Lattice="9.8894 -2.2659 0.0000 9.8894 2.2659 0.0000 -2.0602 0.0000 8.8711" Properties=species:S:1:pos:R:3 pbc="T T T"
Ca 0.0000 0.0000 0.0000
La -1.0301 0.0000 4.4355
La 6.2055 0.0000 1.4989
La 11.5131 0.0000 7.3722
Nd 5.1579 0.0000 5.8520
Nd 12.5607 0.0000 3.0191
Te 3.0491 0.0000 0.7537
Te 2.0808 0.0000 5.1525
Te 8.2968 0.0000 6.7129
Te 9.4219 0.0000 2.1582
Te 15.6379 0.0000 3.7185
Te 14.6695 0.0000 8.1174
```

## Properties
* Fermi-level density of states: 6.44 states/eV/cell
* VASP energy: -63.7 eV for the cell shown
* calculated volume: 397.6 Å³/f.u.
* symmetry: C2/m

[5]
LaFeTc2 after structural relaxation, computed with PBE.

extended XYZ file:
```
4
Lattice="3.1292 0.0000 0.0000 0.0000 3.1292 0.0000 0.0000 0.0000 7.3372" Properties=species:S:1:pos:R:3 pbc="T T T"
La 0.0000 0.0000 0.0000
Fe 0.0000 0.0000 3.6686
Tc 1.5646 1.5646 2.4048
Tc 1.5646 1.5646 4.9324
```

## Properties
* ΔE to the lowest computed polymorph: 0.151 eV/atom
* DFT formation energy: 33.9 kJ per mole of atoms
* Fermi-level density of states: 4.41 states/eV/cell
* calculated volume: 71.8 Å³/f.u.
* symmetry: P4/mmm

[6]
CsRbGeS after structural relaxation, computed with PBE.

extended XYZ file:
```
4
Lattice="4.4604 0.0000 0.0000 0.0069 5.8004 0.0000 2.2084 1.2330 6.1937" Properties=species:S:1:pos:R:3 pbc="T T T"
Cs 0.0000 0.0000 0.0000
Rb 2.2172 3.1260 2.7899
Ge 4.4471 4.2330 5.3448
S 4.4459 5.6656 3.6032
```

## Properties
* ΔE to the lowest computed polymorph: 0.049 eV/atom
* Fermi-level density of states: 2.36 states/eV/cell
* calculated volume: 160.2 Å³/f.u.
* symmetry: P1